Entry 1:
{
  "formula": "Dy2Tm2S3",
  "functional": "GGA-PBE",
  "state": "optimized geometry",
  "lattice_angstrom": [[3.8280, -0.0046, -0.0023], [-1.9098, 6.2943, -1.0589], [0.0019, -0.1746, 6.6111]],
  "species": ["Dy", "Dy", "Tm", "Tm", "S", "S", "S"],
  "frac_coords": [[0.6246, 0.2495, 0.8677], [0.3754, 0.7505, 0.1323], [0.8758, 0.7515, 0.6233], [0.1242, 0.2485, 0.3767], [0.0000, 0.0000, 0.0000], [0.7455, 0.4908, 0.2515], [0.2545, 0.5092, 0.7485]],
  "density_kg_m3": 7951,
  "e_tot_ev_per_atom": -6.041,
  "n_ef_per_ev_atom": 0.477,
  "formation_energy_uncorrected_ev_per_atom": -1.68
}



Entry 2:
{
  "formula": "DyTm3S",
  "functional": "GGA-PBE",
  "state": "optimized geometry",
  "lattice_angstrom": [[5.2292, 0.0000, 0.0000], [0.0000, 5.2292, 0.0000], [0.0000, 0.0000, 5.2292]],
  "species": ["S", "Tm", "Tm", "Tm", "Dy"],
  "frac_coords": [[0.0000, 0.0000, 0.0000], [0.0000, 0.5000, 0.0000], [0.0000, 0.0000, 0.5000], [0.5000, 0.0000, 0.0000], [0.5000, 0.5000, 0.5000]],
  "density_kg_m3": 8145,
  "e_tot_ev_per_atom": -5.038,
  "n_ef_per_ev_atom": 1.649,
  "formation_energy_uncorrected_ev_per_atom": -0.61
}



Entry 3:
{
  "formula": "Dy3Tm2S6",
  "functional": "GGA-PBE",
  "state": "optimized geometry",
  "lattice_angstrom": [[-1.3026, -0.6721, 6.5643], [1.5621, -5.6989, 3.1723], [5.2586, 2.0978, 3.5454]],
  "species": ["Dy", "Dy", "Dy", "Tm", "Tm", "S", "S", "S", "S", "S", "S"],
  "frac_coords": [[0.0000, 0.0000, 0.0000], [0.3374, 0.3251, 0.0000], [0.6626, 0.6749, 0.0000], [0.1657, 0.6687, 0.5000], [0.8343, 0.3313, 0.5000], [0.4179, 0.6651, 0.7465], [0.7526, 0.0000, 0.7407], [0.0830, 0.3349, 0.7465], [0.2474, 0.0000, 0.2593], [0.5821, 0.3349, 0.2535], [0.9170, 0.6651, 0.2535]],
  "density_kg_m3": 6878,
  "e_tot_ev_per_atom": -6.380,
  "n_ef_per_ev_atom": 0.362,
  "formation_energy_uncorrected_ev_per_atom": -2.06
}